# MgBiTe2, optimized geometry, DFT PBE
data_MgBiTe2
_space_group_name_H-M_alt 'R -3 m'
_space_group_IT_number 166
_space_group_name_Hall '-R 3 2"'
_cell_length_a 4.5979
_cell_length_b 4.5979
_cell_length_c 27.1353
_cell_angle_alpha 90.00
_cell_angle_beta 90.00
_cell_angle_gamma 120.00
loop_
_atom_site_label
_atom_site_type_symbol
_atom_site_fract_x
_atom_site_fract_y
_atom_site_fract_z
_atom_site_occupancy
Mg1 Mg 0.0000 0.0000 0.0000 1
Bi1 Bi 0.0000 0.0000 0.5000 1
Te1 Te 0.0000 0.0000 0.1023 1
# E_form (uncorrected) in eV per atom: -0.038
# Magnetic moment in μB/atom: 0.000
# Calculated volume in A^3/atom: 41.4

# MgBi3Te, optimized geometry, DFT PBE
data_MgBi3Te
_space_group_name_H-M_alt 'P m -3 m'
_space_group_IT_number 221
_space_group_name_Hall '-P 4 2 3'
_cell_length_a 5.522
_cell_length_b 5.522
_cell_length_c 5.522
_cell_angle_alpha 90.00
_cell_angle_beta 90.00
_cell_angle_gamma 90.00
loop_
_atom_site_label
_atom_site_type_symbol
_atom_site_fract_x
_atom_site_fract_y
_atom_site_fract_z
_atom_site_occupancy
Mg1 Mg 0.000 0.000 0.000 1
Bi1 Bi 0.000 0.000 0.500 1
Te1 Te 0.500 0.500 0.500 1
# E_form (uncorrected) in eV per atom: 0.492
# Magnetic moment in μB/atom: 0.000
# Calculated volume in A^3/atom: 33.7

no.,E_tot (eV per atom)
1,-2.978
2,-2.784